The following is a DFT calculation (PBE) of a relaxed Sr2CoBr crystal.

CIF file:
```
data_Sr2CoBr
_chemical_formula_sum 'Sr4 Co2 Br2'
_symmetry_space_group_name_H-M 'C 1 2/m 1'
_symmetry_Int_Tables_number 12
_symmetry_space_group_name_Hall '-C 2y'
_cell_length_a 7.238
_cell_length_b 4.194
_cell_length_c 8.586
_cell_angle_alpha 90.00
_cell_angle_beta 106.40
_cell_angle_gamma 90.00
loop_
_atom_site_label
_atom_site_type_symbol
_atom_site_fract_x
_atom_site_fract_y
_atom_site_fract_z
Sr1 Sr 0.239 0.000 0.218
Co1 Co 0.000 0.500 0.000
Br1 Br 0.000 0.000 0.500
```

Summary:
The value obtained for the formation energy from raw total energies is -0.436 eV per atom. The relative energy among the computed polymorphs comes out at 0.000 eV/atom. For the total energy, the calculation gives -13.89 eV/f.u.